Pr2GaAgSe5 | PBE | optimized geometry

Lattice parameters (Å, degrees): 4.0695 18.5921 11.9157 90.00 90.00 90.00
With the nearest neighbours (Å) after each atom.
Space group Cmc2_1 (No. 36)
Asymmetric unit:
Pr (0.0000, 0.1183, 0.0000)  8 Se 3.03-3.27
Pr (0.0000, 0.1270, 0.6169)  7 Se 2.95-3.21
Ga (0.0000, 0.4309, 0.7719)  4 Se 2.42-2.49
Ag (0.0000, 0.2252, 0.3416)  3 Se 2.66-2.76
Se (0.0000, 0.0406, 0.3834)  2 Ga 2.49
Se (0.0000, 0.2883, 0.9963)  2 Ag 2.76, 2 Pr 2.95
Se (0.0000, 0.3178, 0.6712)  1 Ga 2.42
Se (0.0000, 0.3669, 0.3125)  1 Ag 2.66
Se (0.0000, 0.4982, 0.5943)  1 Ga 2.46

Values from the calculation:
Raw formation energy: -1202.7 meV per atom
Raw total energy: -174.73 eV/cell
Total moment: 0.000 Bohr magnetons per cell